Entry A
Computed, not measured: a relaxed BaFeRu2 crystal at the PBEsol level of DFT.

V: 71 Å³/cell

Cell lengths 3.024, 3.024, 7.750 Å; angles 90.00, 90.00, 90.00 degrees
Positions (direct):
Ba (0.500, 0.500, 0.500)
Fe (0.500, 0.500, 0.000)
Ru (0.000, 0.000, 0.167)
Ru (0.000, 0.000, 0.833)



Entry B
Computed, not measured: a relaxed BaFeRu2 crystal at the PBEsol level of DFT.

V: 75 Å³/cell

Cell lengths 2.911, 3.505, 7.389 Å; angles 90.00, 90.00, 90.00 degrees
Positions (direct):
Ba (0.000, 0.000, 0.500)
Fe (0.500, 0.500, 0.838)
Ru (0.000, 0.000, 0.000)
Ru (0.500, 0.500, 0.162)



It is entry B that is the most stable of them.